Entry 1:
Crystalline Mo4As2CN at its relaxed geometry, computed with GGA-PBE.

The structure in extended XYZ format:
```
8
Lattice="3.1155 0.0000 0.0000 -1.5578 2.6981 0.0000 0.0000 0.0000 12.6644" Properties=species:S:1:pos:R:3 pbc="T T T"
Mo 1.5578 0.8994 7.5648
Mo 0.0000 1.7987 5.0996
Mo 0.0000 1.7987 1.1446
Mo 1.5578 0.8994 11.5198
As 0.0000 1.7987 9.4971
As 1.5578 0.8994 3.1673
N 0.0000 0.0000 6.3322
C 0.0000 0.0000 0.0000
```

=====

Entry 2:
Crystalline Nb2Mo4As3C3 at its relaxed geometry, computed with GGA-PBE.

The structure in extended XYZ format:
```
24
Lattice="4.8599 -2.8043 0.0000 4.8599 2.8043 0.0000 -3.2579 0.0000 12.1999" Properties=species:S:1:pos:R:3 pbc="T T T"
Mo 5.6685 0.4781 7.1715
Mo -0.8355 0.4781 11.1284
Mo 5.6436 0.4569 11.1376
Mo 0.8183 -0.4569 1.0623
Mo 7.2725 -0.4569 5.0377
Mo 0.7934 -0.4781 5.0284
Mo -0.8106 0.4569 7.1623
Mo 7.2974 -0.4780 1.0715
C 2.4010 -1.3882 12.1984
C 2.4320 -1.3882 6.1015
C 4.0609 1.3882 0.0015
C 0.8010 1.4021 6.1000
C 2.4299 -1.4021 0.0000
C 4.0299 1.3882 6.0984
As 2.3309 0.5214 3.0459
As 5.7600 0.5214 3.0541
As 4.0454 -2.4471 3.0500
As 0.7019 -0.5214 9.1459
As 4.1311 -0.5214 9.1540
As 2.4165 2.4471 9.1499
Nb 4.0374 -0.4710 1.2028
Nb 2.4085 0.4710 7.3027
Nb 2.4245 0.4710 10.9972
Nb 4.0534 -0.4710 4.8972
```

=====

Entry 3:
Crystalline Sc2Mo4As3C3 at its relaxed geometry, computed with GGA-PBE.

The structure in extended XYZ format:
```
24
Lattice="4.8917 -2.8490 0.0000 4.8917 2.8490 0.0000 -3.1715 0.0000 12.1499" Properties=species:S:1:pos:R:3 pbc="T T T"
Sc 2.5038 0.4656 7.3660
Sc 4.0896 -0.4656 1.2910
Sc 2.5224 0.4656 10.8589
Sc 4.1081 -0.4656 4.7840
As 0.7806 -0.5527 9.1435
As 4.0988 -2.4848 3.0375
As 2.3664 0.5527 3.0685
As 4.2455 -0.5527 9.0814
As 5.8313 0.5527 3.0065
As 2.5131 2.4848 9.1124
Mo 7.4082 -0.5239 5.0353
Mo 0.7895 -0.5239 1.0396
Mo -0.6986 0.4318 11.1195
Mo 0.8872 -0.4318 5.0445
Mo 5.8224 0.5239 11.1103
Mo 7.3105 -0.4318 1.0304
Mo -0.7962 0.5239 7.1146
Mo 5.7248 0.4318 7.1054
C 0.8601 1.4245 6.0750
C 5.7230 -1.4384 0.0065
C 4.1373 1.4384 6.0815
C 2.4459 -1.4245 0.0000
C 2.4746 -1.4384 6.0685
C 0.8889 1.4384 12.1434
```

=====

Entry 4:
Crystalline SiMo4AsC2 at its relaxed geometry, computed with GGA-PBE.

The structure in extended XYZ format:
```
8
Lattice="-0.6514 2.1928 2.1590 -2.3128 -1.2254 -1.7445 -1.7059 -8.8626 8.4867" Properties=species:S:1:pos:R:3 pbc="T T T"
Si -2.6119 -4.5173 3.8000
As 0.0000 0.0000 0.0000
Mo -3.1865 -7.5023 6.6585
Mo -0.5914 -3.0722 2.9419
Mo -1.1146 -5.7904 5.5448
Mo -2.0373 -1.5322 0.9415
C -2.4818 -5.5791 7.2090
C -1.6344 -1.1767 2.9933
```

=====

Short version: electronic total energy = -8.800, -9.024, -8.575, -9.068 eV/atom, in the order given.